Material: Fe3O2F4
Method: DFT, PBE+U
State: optimized geometry

VASP energy	-5.791	eV/atom
ΔE to the lowest computed polymorph	57	meV/atom
N(E_F)	0.1	states/eV/f.u.

Cell lengths 5.7424, 5.7344, 7.3040 Å; angles 72.46, 72.25, 72.59 degrees
Last column: magnetic moment on the atom in μB.
Fractional positions:
Fe  0.6728  0.7075  0.8361  4.37
Fe  0.3507  0.3150  0.6706  3.29
Fe  0.6459  0.6479  0.3196  4.37
Fe  0.3322  0.3270  0.1647  3.80
Fe  0.9824  0.9973  0.5035  3.81
Fe  0.0012  0.0126  0.9983  4.41
O  0.2276  0.2209  0.9594  0.11
O  0.7749  0.7794  0.0378  0.32
O  0.4338  0.4267  0.3795  0.14
O  0.6251  0.0318  0.6715  0.16
F  0.0380  0.6126  0.6745  0.07
F  0.3636  0.9532  0.3427  0.09
F  0.8980  0.8960  0.2936  0.10
F  0.5850  0.5819  0.6283  0.10
F  0.0921  0.0870  0.7049  0.10
F  0.9569  0.3734  0.3387  0.09
F  0.3105  0.7078  0.9900  0.11
F  0.7093  0.3219  0.9862  0.10